# 1
YEr2TmSc5 (PBE, relaxed); uncorrected energy = -100.25 eV/cell; space group = Cmc2_1 (36)
1.0
5.313 0.000 0.000
-2.657 9.276 0.000
0.000 0.000 10.206
Sc Er Tm Y
10 4 2 2
Direct
0.021 0.041 0.030
0.300 0.599 0.713
0.522 0.043 0.234
0.395 0.791 0.022
0.605 0.209 0.522
0.716 0.432 0.804
0.979 0.959 0.530
0.700 0.401 0.213
0.478 0.957 0.734
0.284 0.568 0.304
0.890 0.780 0.230
0.110 0.220 0.730
0.888 0.777 0.822
0.112 0.223 0.322
0.206 0.412 0.012
0.794 0.588 0.512
0.417 0.834 0.457
0.583 0.166 0.957


# 2
ErZn2Cd (PBE, relaxed); uncorrected energy = -8.82 eV/cell; space group = P4/mmm (123)
1.0
4.179 0.000 0.000
0.000 4.443 0.000
0.000 0.000 4.443
Cd Zn Er
1 2 1
Direct
0.500 0.500 0.500
0.000 0.500 0.000
0.000 0.000 0.500
0.500 0.000 0.000


# 3
ZnNiBr2 (PBE, relaxed); E_form (uncorrected) = 0.1511 eV per atom; space group = I-4m2 (119)
1.0
-6.232 -3.542 -2.342
-5.535 -4.321 2.750
4.480 6.058 0.314
Ni Br Zn
1 2 1
Direct
0.500 0.500 0.000
0.000 0.000 0.000
0.250 0.750 0.500
0.750 0.250 0.500


# 4
LiTl2I (PBE, relaxed); E_form (uncorrected) = -0.0494 eV per atom; space group = Fm-3m (225)
1.0
0.000 4.083 4.083
4.083 0.000 4.083
4.083 4.083 0.000
I Tl Li
1 2 1
Direct
0.500 0.500 0.500
0.750 0.750 0.750
0.250 0.250 0.250
0.000 0.000 0.000


# 5
InSnAu (PBE, relaxed); uncorrected energy = -10.18 eV/cell; space group = I4mm (107)
1.0
3.386 0.000 0.000
0.000 3.386 0.000
-1.693 -1.693 6.192
Sn In Au
1 1 1
Direct
0.017 0.017 0.033
0.316 0.316 0.632
0.667 0.667 0.335


# 6
GePb (PBE, relaxed); uncorrected energy = -47.14 eV/cell; space group = Amm2 (38)
1.0
4.233 0.000 0.000
0.000 13.746 0.000
0.000 0.000 5.502
Ge Pb
6 6
Direct
0.000 0.000 0.374
0.000 0.837 0.671
0.000 0.163 0.671
0.000 0.500 0.874
0.000 0.663 0.171
0.000 0.337 0.171
0.500 0.331 0.739
0.500 0.500 0.308
0.500 0.000 0.808
0.500 0.831 0.239
0.500 0.669 0.739
0.500 0.169 0.239


# 7
Cd8Cu7P30 (PBE, relaxed); uncorrected energy = -203.16 eV/cell; space group = P1 (1)
1.0
7.451 -0.002 -0.007
3.724 6.461 -0.008
0.087 0.053 18.288
Cd P Cu
8 30 7
Direct
0.346 0.316 0.930
0.871 0.258 0.464
0.000 0.001 0.595
0.208 0.203 0.802
0.207 0.587 0.804
0.873 0.873 0.468
0.654 0.694 0.255
0.539 0.540 0.133
0.349 0.825 0.840
0.837 0.847 0.329
0.510 0.503 0.996
0.013 0.494 0.505
0.996 0.995 0.128
0.494 0.009 0.624
0.494 0.496 0.625
0.674 0.148 0.169
0.332 0.335 0.462
0.668 0.168 0.289
0.814 0.341 0.836
0.309 0.848 0.336
0.004 0.498 0.625
0.832 0.337 0.957
0.828 0.825 0.960
0.160 0.678 0.291
0.172 0.653 0.664
0.148 0.675 0.171
0.479 0.511 0.503
0.646 0.176 0.670
0.986 0.503 0.001
0.172 0.175 0.663
0.812 0.842 0.838
0.342 0.827 0.960
0.511 0.975 0.005
0.479 0.011 0.503
0.158 0.165 0.290
0.160 0.157 0.169
0.832 0.330 0.325
0.667 0.666 0.797
0.662 0.669 0.668
0.633 0.181 0.797
0.009 0.487 0.125
0.298 0.851 0.463
0.328 0.337 0.334
0.999 0.996 0.001
0.493 0.996 0.129


# 8
NaLiZrSi6O15 (PBE, relaxed); E_form (uncorrected) = -2.8056 eV per atom; space group = Cmce (64)
1.0
10.305 0.000 0.000
0.000 11.402 -0.001
0.000 -2.103 11.207
O Si Na Zr Li
60 24 4 4 4
Direct
0.171 0.750 0.525
0.166 0.654 0.004
0.585 0.497 0.779
0.829 0.250 0.475
0.493 0.906 0.344
0.423 0.093 0.252
0.666 0.504 0.154
0.993 0.844 0.406
0.817 0.944 0.056
0.660 0.331 0.329
0.671 0.025 0.250
0.829 0.525 0.750
0.926 0.179 0.821
0.493 0.656 0.094
0.915 0.721 0.003
0.498 0.893 0.107
0.160 0.829 0.831
0.415 0.779 0.497
0.840 0.831 0.829
0.317 0.556 0.444
0.171 0.475 0.250
0.329 0.250 0.025
0.334 0.154 0.504
0.183 0.056 0.944
0.002 0.393 0.607
0.671 0.750 0.975
0.507 0.094 0.656
0.074 0.821 0.179
0.426 0.321 0.679
0.329 0.975 0.750
0.340 0.669 0.671
0.007 0.156 0.594
0.507 0.344 0.906
0.840 0.171 0.169
0.683 0.444 0.556
0.923 0.752 0.593
0.415 0.503 0.221
0.574 0.679 0.321
0.915 0.997 0.279
0.502 0.107 0.893
0.423 0.748 0.907
0.666 0.846 0.496
0.334 0.496 0.846
0.160 0.169 0.171
0.585 0.221 0.503
0.834 0.346 0.996
0.007 0.406 0.844
0.834 0.004 0.654
0.998 0.607 0.393
0.085 0.003 0.721
0.577 0.252 0.093
0.085 0.279 0.997
0.923 0.407 0.248
0.660 0.671 0.669
0.577 0.907 0.748
0.077 0.593 0.752
0.993 0.594 0.156
0.166 0.996 0.346
0.340 0.329 0.331
0.077 0.248 0.407
0.041 0.699 0.085
0.482 0.020 0.764
0.982 0.264 0.520
0.311 0.683 0.536
0.811 0.817 0.964
0.541 0.801 0.415
0.018 0.520 0.264
0.518 0.980 0.236
0.041 0.915 0.301
0.982 0.480 0.736
0.018 0.736 0.480
0.459 0.199 0.585
0.311 0.464 0.317
0.959 0.301 0.915
0.518 0.764 0.020
0.689 0.317 0.464
0.959 0.085 0.699
0.189 0.964 0.817
0.189 0.183 0.036
0.689 0.536 0.683
0.482 0.236 0.980
0.541 0.585 0.199
0.811 0.036 0.183
0.459 0.415 0.801
0.250 0.966 0.534
0.750 0.034 0.466
0.250 0.466 0.034
0.750 0.534 0.966
0.250 0.661 0.839
0.750 0.339 0.161
0.250 0.161 0.339
0.750 0.839 0.661
0.000 0.753 0.753
0.500 0.253 0.253
0.000 0.247 0.247
0.500 0.747 0.747


# 9
KCa2TlPd (PBE, relaxed); uncorrected energy = -13.91 eV/cell; space group = P4/mmm (123)
1.0
-5.487 -1.140 -0.908
0.081 -3.771 4.243
-1.393 3.914 3.506
K Tl Ca Pd
1 1 2 1
Direct
0.500 0.500 0.500
0.000 0.000 0.500
0.000 0.500 0.000
0.500 0.000 0.000
0.000 0.000 0.000


# 10
Tb5PrSm4 (PBE, relaxed); uncorrected energy = -44.27 eV/cell; space group = I4mm (107)
1.0
6.070 0.000 0.000
3.035 7.494 0.000
3.035 0.000 7.494
Sm Tb Pr
4 5 1
Direct
0.794 0.674 0.674
0.467 0.326 0.674
0.467 0.674 0.326
0.141 0.326 0.326
0.749 0.000 0.379
0.128 0.000 0.621
0.128 0.621 0.000
0.679 0.000 0.000
0.749 0.379 0.000
0.209 0.000 0.000


# 11
ZnSbCl2 (PBE, relaxed); E_form (uncorrected) = -0.2894 eV per atom; space group = P4mm (99)
1.0
-1.909 2.010 1.972
-2.158 0.486 -2.585
-4.498 -6.717 2.493
Zn Cl Sb
1 2 1
Direct
0.500 0.500 0.751
0.500 0.500 0.316
0.000 0.000 0.904
0.000 0.000 0.529


# 12
Er4Ag2Ir (PBE, relaxed); uncorrected energy = -35.51 eV/cell; space group = R-3m (166)
1.0
-3.532 -1.204 3.297
-3.055 -3.826 -0.909
2.961 -6.673 4.496
Er Ag Ir
4 2 1
Direct
0.121 0.121 0.638
0.372 0.372 0.885
0.879 0.879 0.362
0.628 0.628 0.115
0.247 0.247 0.260
0.753 0.753 0.740
0.000 0.000 0.000


Number 1: N(E_F) 16.341 states/eV/f.u., total moment 0.000 μB/f.u.. Number 2: N(E_F) 3.400 states/eV/f.u., total moment 0.000 μB/f.u.. Number 3: N(E_F) 4.733 states/eV/f.u., total moment 0.718 μB/f.u.. Number 4: N(E_F) 2.804 states/eV/f.u., total moment 0.000 μB/f.u.. Number 5: N(E_F) 1.801 states/eV/f.u., total moment 0.000 μB/f.u.. Number 6: N(E_F) 1.032 states/eV/f.u., total moment 0.000 μB/f.u.. Number 7: N(E_F) 2.542 states/eV/f.u., total moment 0.000 μB/f.u.. Number 8: N(E_F) 0.000 states/eV/f.u., total moment 0.000 μB/f.u.. Number 9: N(E_F) 3.752 states/eV/f.u., total moment 0.000 μB/f.u.. Number 10: N(E_F) 14.229 states/eV/f.u., total moment 0.000 μB/f.u.. Number 11: N(E_F) 0.854 states/eV/f.u., total moment 0.000 μB/f.u.. Number 12: N(E_F) 6.094 states/eV/f.u., total moment 0.000 μB/f.u..